Material: Sm2TeS
Method: DFT, GGA-PBE
State: optimized geometry

Lattice parameters (Å, degrees): 6.025 6.025 11.974 89.99 90.00 90.00
Atoms (fractional coordinates):
Sm1 0.250 0.500 0.393
Sm2 0.249 0.500 0.857
Sm3 0.750 0.000 0.893
Sm4 0.750 0.500 0.607
Sm5 0.751 0.500 0.143
Sm6 0.249 0.000 0.643
Sm7 0.751 0.000 0.357
Sm8 0.250 0.000 0.107
Te1 0.251 0.500 0.125
Te2 0.749 0.500 0.875
Te3 0.749 0.000 0.625
Te4 0.251 0.000 0.375
S1 0.750 0.500 0.375
S2 0.250 0.500 0.625
S3 0.750 0.000 0.125
S4 0.250 0.000 0.875

**Formation energy without anion corrections**: -619 kJ/mol of formula units
**Space group**: Pmna
**Offset from the most stable computed form**: 0.132 eV/atom
**Theoretical density**: 7.0 g cm⁻³
**Total energy**: -5.78 eV per atom